No. 1
PuTcW: optimized geometry, PBE.

Output
V	17.4	Å³ per atom
calculated formation energy	0.2862	eV per atom
VASP energy	-12.26	eV/atom

a b c (Å): 9.6508 4.5772 5.7538
angles (deg): 90.00 124.94 90.00
Last column: nearest neighbours and their distance in Å.
Space group C2/m (No. 12)
Symmetry-distinct sites (fractional):
1 Pu 0.0090 0.0000 0.2641 (multiplicity 4)  3 Tc 2.60-2.81, 3 W 2.80-2.84, 1 Pu 2.82
2 Tc 0.1805 0.5000 0.5847 (multiplicity 4)  3 Pu 2.60-2.81, 3 W 2.84
3 W 0.1684 0.5000 0.0663 (multiplicity 4)  3 Pu 2.80-2.84, 4 Tc 2.84-2.92, 3 W 2.88-3.11

=====

No. 2
YPuTc: optimized geometry, PBE.

Output
V	23.2	Å³ per atom
calculated formation energy	0.0406	eV per atom
VASP energy	-10.35	eV/atom

a b c (Å): 3.3937 3.3937 12.0650
angles (deg): 90.00 90.00 90.00
Last column: nearest neighbours and their distance in Å.
Space group I4mm (No. 107)
Symmetry-distinct sites (fractional):
1 Y 0.0000 0.0000 0.0000 (multiplicity 2)  4 Tc 3.03, 1 Pu 3.38, 4 Y 3.39
2 Pu 0.0000 0.0000 0.2802 (multiplicity 2)  4 Tc 2.84
3 Tc 0.0000 0.0000 0.6537 (multiplicity 2)  4 Pu 2.84, 4 Y 3.03

=====

No. 3
YPu2Tc3: optimized geometry, PBE.

Output
V	20.6	Å³ per atom
calculated formation energy	0.0521	eV per atom
VASP energy	-10.99	eV/atom

a b c (Å): 5.9399 5.9399 4.0395
angles (deg): 90.00 90.00 120.00
Last column: nearest neighbours and their distance in Å.
Space group P6/mmm (No. 191)
Symmetry-distinct sites (fractional):
1 Y 0.0000 0.0000 0.0000 (multiplicity 1)  6 Pu 3.43, 12 Tc 3.59
2 Pu 0.3333 0.6667 0.0000 (multiplicity 2)  6 Tc 2.65
3 Tc 0.0000 0.5000 0.5000 (multiplicity 3)  4 Pu 2.65

=====

No. 4
YPuTc2: optimized geometry, PBE.

Output
V	19.7	Å³ per atom
calculated formation energy	0.0151	eV per atom
VASP energy	-10.37	eV/atom

a b c (Å): 3.3611 3.3611 6.9807
angles (deg): 90.00 90.00 90.00
Last column: nearest neighbours and their distance in Å.
Space group P4/mmm (No. 123)
Symmetry-distinct sites (fractional):
1 Y 0.0000 0.0000 0.0000 (multiplicity 1)  8 Tc 3.10, 4 Y 3.36
2 Pu 0.0000 0.0000 0.5000 (multiplicity 1)  8 Tc 2.81
3 Tc 0.5000 0.5000 0.2853 (multiplicity 2)  4 Pu 2.81, 1 Tc 3.00, 4 Y 3.10

=====

No. 5
YPuTc2: optimized geometry, PBE.

Output
V	19.6	Å³ per atom
calculated formation energy	0.1113	eV per atom
VASP energy	-10.27	eV/atom

a b c (Å): 4.8214 4.8214 3.3712
angles (deg): 90.00 90.00 90.00
Last column: nearest neighbours and their distance in Å.
Space group P4/mmm (No. 123)
Symmetry-distinct sites (fractional):
1 Y 0.0000 0.0000 0.0000 (multiplicity 1)  8 Tc 2.94
2 Pu 0.5000 0.5000 0.0000 (multiplicity 1)  8 Tc 2.94
3 Tc 0.0000 0.5000 0.5000 (multiplicity 2)  4 Pu 2.94, 4 Y 2.94

=====

No. 6
YPu2Tc: optimized geometry, PBE.

Output
V	24.9	Å³ per atom
calculated formation energy	0.3493	eV per atom
VASP energy	-11.02	eV/atom

a b c (Å): 3.2808 3.2808 32.0542
angles (deg): 90.00 90.00 120.00
Last column: nearest neighbours and their distance in Å.
Space group R-3m (No. 166, hexagonal axes)
Symmetry-distinct sites (fractional):
1 Y 0.0000 0.0000 0.0000 (multiplicity 3)  2 Pu 3.22, 6 Y 3.28
2 Pu 0.0000 0.0000 0.1004 (multiplicity 6)  3 Tc 2.85
3 Tc 0.0000 0.0000 0.5000 (multiplicity 3)  6 Pu 2.85

=====

No. 7
YPu2Tc9: optimized geometry, PBE.

Output
V	17.8	Å³ per atom
calculated formation energy	0.0627	eV per atom
VASP energy	-10.64	eV/atom

a b c (Å): 5.2249 5.2249 27.1770
angles (deg): 90.00 90.00 120.00
Last column: nearest neighbours and their distance in Å.
Space group R-3m (No. 166, hexagonal axes)
Symmetry-distinct sites (fractional):
1 Y 0.0000 0.0000 0.0000 (multiplicity 3)  6 Tc 3.02
2 Pu 0.0000 0.0000 0.1457 (multiplicity 6)  12 Tc 3.07-3.23, 3 Pu 3.22
3 Tc 0.0000 0.0000 0.3354 (multiplicity 6)  6 Tc 2.66-2.73
4 Tc 0.0000 0.0000 0.5000 (multiplicity 3)  6 Tc 2.76, 6 Pu 3.07
5 Tc 0.0043 0.5021 0.9179 (multiplicity 18)  7 Tc 2.58-2.76

=====

No. 8
YPu2Tc: optimized geometry, PBE.

Output
V	24.2	Å³ per atom
calculated formation energy	0.1052	eV per atom
VASP energy	-11.27	eV/atom

a b c (Å): 3.3006 3.3006 8.8831
angles (deg): 90.00 90.00 90.00
Last column: nearest neighbours and their distance in Å.
Space group P4/mmm (No. 123)
Symmetry-distinct sites (fractional):
1 Y 0.0000 0.0000 0.0000 (multiplicity 1)  4 Y 3.30, 8 Pu 3.56
2 Pu 0.5000 0.5000 0.3021 (multiplicity 2)  4 Tc 2.92
3 Tc 0.0000 0.0000 0.5000 (multiplicity 1)  8 Pu 2.92